BiAsBr2Cl (meta-GGA SCAN, PBEsol geometry); D(E_F) = 3.066 states/eV per cell; energy relative to the elements, uncorrected = 667 meV per atom; total magnetization = 0.0 μB per formula unit
1.0
5.0736 0.0000 0.0000
0.0000 5.0736 0.0000
0.0000 0.0000 5.1474
Bi As Br Cl
1 1 2 1
Cartesian
0.0000 0.0000 0.0000
2.5368 2.5368 0.0000
0.0000 2.5368 2.5737
2.5368 0.0000 2.5737
2.5368 2.5368 2.5737